A.
First-principles (PBE-GGA) data for a relaxed AlGa2Fe2 crystal, as listed in the Alexandria database.

CIF file:
```
data_AlGa2Fe2
_space_group_name_H-M_alt 'P 4/m b m'
_space_group_IT_number 127
_space_group_name_Hall '-P 4 2ab'
_cell_length_a 6.3131
_cell_length_b 6.3131
_cell_length_c 3.3605
_cell_angle_alpha 90.00
_cell_angle_beta 90.00
_cell_angle_gamma 90.00
loop_
_atom_site_label
_atom_site_type_symbol
_atom_site_fract_x
_atom_site_fract_y
_atom_site_fract_z
Al1 Al 0.0000 0.0000 0.0000
Ga1 Ga 0.1528 0.3472 0.5000
Fe1 Fe 0.1471 0.6471 0.0000
```



B.
First-principles (PBE-GGA) data for a relaxed AlGa2Fe2 crystal, as listed in the Alexandria database.

CIF file:
```
data_AlGa2Fe2
_space_group_name_H-M_alt 'P 4/m b m'
_space_group_IT_number 127
_space_group_name_Hall '-P 4 2ab'
_cell_length_a 6.7677
_cell_length_b 6.7677
_cell_length_c 2.8264
_cell_angle_alpha 90.00
_cell_angle_beta 90.00
_cell_angle_gamma 90.00
loop_
_atom_site_label
_atom_site_type_symbol
_atom_site_fract_x
_atom_site_fract_y
_atom_site_fract_z
Al1 Al 0.0000 0.0000 0.0000
Ga1 Ga 0.1323 0.3677 0.0000
Fe1 Fe 0.1665 0.6665 0.5000
```



The most stable of them is A.



A.
First-principles (PBE-GGA) data for a relaxed Al2Ga2Fe7 crystal, as listed in the Alexandria database.

CIF file:
```
data_Al2Ga2Fe7
_space_group_name_H-M_alt 'P -1'
_space_group_IT_number 2
_space_group_name_Hall '-P 1'
_cell_length_a 4.4431
_cell_length_b 5.5453
_cell_length_c 6.3004
_cell_angle_alpha 80.28
_cell_angle_beta 70.26
_cell_angle_gamma 78.56
loop_
_atom_site_label
_atom_site_type_symbol
_atom_site_fract_x
_atom_site_fract_y
_atom_site_fract_z
Al1 Al 0.1813 0.2480 0.2551
Ga1 Ga 0.2395 0.7613 0.2742
Fe1 Fe 0.2566 0.4194 0.5853
Fe2 Fe 0.2579 0.0589 0.9009
Fe3 Fe 0.2673 0.5888 0.9140
Fe4 Fe 0.5000 0.0000 0.5000
```



B.
First-principles (PBE-GGA) data for a relaxed Al2Ga2Fe7 crystal, as listed in the Alexandria database.

CIF file:
```
data_Al2Ga2Fe7
_space_group_name_H-M_alt 'C 1 2/m 1'
_space_group_IT_number 12
_space_group_name_Hall '-C 2y'
_cell_length_a 6.7801
_cell_length_b 7.4369
_cell_length_c 5.9822
_cell_angle_alpha 90.00
_cell_angle_beta 105.25
_cell_angle_gamma 90.00
loop_
_atom_site_label
_atom_site_type_symbol
_atom_site_fract_x
_atom_site_fract_y
_atom_site_fract_z
Al1 Al 0.0000 0.1880 0.0000
Ga1 Ga 0.1147 0.5000 0.3603
Fe1 Fe 0.0000 0.0000 0.5000
Fe2 Fe 0.1784 0.2755 0.6825
Fe3 Fe 0.1931 0.5000 0.9938
```



The most stable of them is A.



A.
First-principles (PBE-GGA) data for a relaxed Al3GaFe crystal, as listed in the Alexandria database.

CIF file:
```
data_Al3GaFe
_space_group_name_H-M_alt 'P m -3 m'
_space_group_IT_number 221
_space_group_name_Hall '-P 4 2 3'
_cell_length_a 4.5415
_cell_length_b 4.5415
_cell_length_c 4.5415
_cell_angle_alpha 90.00
_cell_angle_beta 90.00
_cell_angle_gamma 90.00
loop_
_atom_site_label
_atom_site_type_symbol
_atom_site_fract_x
_atom_site_fract_y
_atom_site_fract_z
Al1 Al 0.0000 0.0000 0.5000
Ga1 Ga 0.5000 0.5000 0.5000
Fe1 Fe 0.0000 0.0000 0.0000
```



B.
First-principles (PBE-GGA) data for a relaxed Al3GaFe crystal, as listed in the Alexandria database.

CIF file:
```
data_Al3GaFe
_space_group_name_H-M_alt 'P m -3 m'
_space_group_IT_number 221
_space_group_name_Hall '-P 4 2 3'
_cell_length_a 4.6350
_cell_length_b 4.6350
_cell_length_c 4.6350
_cell_angle_alpha 90.00
_cell_angle_beta 90.00
_cell_angle_gamma 90.00
loop_
_atom_site_label
_atom_site_type_symbol
_atom_site_fract_x
_atom_site_fract_y
_atom_site_fract_z
Al1 Al 0.0000 0.0000 0.5000
Ga1 Ga 0.0000 0.0000 0.0000
Fe1 Fe 0.5000 0.5000 0.5000
```



The most stable of them is A.



A.
First-principles (PBE-GGA) data for a relaxed AlFe3Ge crystal, as listed in the Alexandria database.

CIF file:
```
data_AlFe3Ge
_space_group_name_H-M_alt 'R -3 m'
_space_group_IT_number 166
_space_group_name_Hall '-R 3 2"'
_cell_length_a 5.0440
_cell_length_b 5.0440
_cell_length_c 18.1382
_cell_angle_alpha 90.00
_cell_angle_beta 90.00
_cell_angle_gamma 120.00
loop_
_atom_site_label
_atom_site_type_symbol
_atom_site_fract_x
_atom_site_fract_y
_atom_site_fract_z
Al1 Al 0.0000 0.0000 0.1056
Fe1 Fe 0.0029 0.5015 0.1100
Ge1 Ge 0.0000 0.0000 0.3332
```



B.
First-principles (PBE-GGA) data for a relaxed AlFe3Ge crystal, as listed in the Alexandria database.

CIF file:
```
data_AlFe3Ge
_space_group_name_H-M_alt 'P m -3 m'
_space_group_IT_number 221
_space_group_name_Hall '-P 4 2 3'
_cell_length_a 4.3556
_cell_length_b 4.3556
_cell_length_c 4.3556
_cell_angle_alpha 90.00
_cell_angle_beta 90.00
_cell_angle_gamma 90.00
loop_
_atom_site_label
_atom_site_type_symbol
_atom_site_fract_x
_atom_site_fract_y
_atom_site_fract_z
Al1 Al 0.0000 0.0000 0.0000
Fe1 Fe 0.0000 0.0000 0.5000
Ge1 Ge 0.5000 0.5000 0.5000
```



C.
First-principles (PBE-GGA) data for a relaxed AlFe3Ge crystal, as listed in the Alexandria database.

CIF file:
```
data_AlFe3Ge
_space_group_name_H-M_alt 'P m -3 m'
_space_group_IT_number 221
_space_group_name_Hall '-P 4 2 3'
_cell_length_a 4.3424
_cell_length_b 4.3424
_cell_length_c 4.3424
_cell_angle_alpha 90.00
_cell_angle_beta 90.00
_cell_angle_gamma 90.00
loop_
_atom_site_label
_atom_site_type_symbol
_atom_site_fract_x
_atom_site_fract_y
_atom_site_fract_z
Al1 Al 0.0000 0.0000 0.0000
Fe1 Fe 0.0000 0.5000 0.5000
Ge1 Ge 0.5000 0.5000 0.5000
```



The most stable of them is A.